# Ce4Ga12Ag, relaxed, DFT PBE-GGA
data_Ce4Ga12Ag
_chemical_formula_sum 'Ce4 Ga12 Ag1'
_space_group_name_H-M_alt 'P 1'
_space_group_IT_number 1
_space_group_name_Hall 'P 1'
_cell_length_a 7.6205
_cell_length_b 7.6205
_cell_length_c 7.6205
_cell_angle_alpha 109.47
_cell_angle_beta 109.47
_cell_angle_gamma 109.47
loop_
_atom_site_label
_atom_site_type_symbol
_atom_site_fract_x
_atom_site_fract_y
_atom_site_fract_z
Ga1 Ga 0.2500 0.5000 0.7500
Ag1 Ag 0.0000 0.0000 0.0000
Ce1 Ce 0.5000 0.0000 0.0000
Ce2 Ce 0.0000 0.0000 0.5000
Ga2 Ga 0.3066 0.3066 0.0000
Ga3 Ga 0.5000 0.7500 0.2500
Ga4 Ga 0.2500 0.7500 0.5000
Ga5 Ga 0.0000 0.6934 0.6934
Ga6 Ga 0.0000 0.3066 0.3066
Ce3 Ce 0.0000 0.5000 0.0000
Ga7 Ga 0.6934 0.0000 0.6934
Ga8 Ga 0.3066 0.0000 0.3066
Ga9 Ga 0.7500 0.5000 0.2500
Ga10 Ga 0.7500 0.2500 0.5000
Ga11 Ga 0.6934 0.6934 0.0000
Ga12 Ga 0.5000 0.2500 0.7500
Ce4 Ce 0.5000 0.5000 0.5000
# Space group: No. 229
# E_form (meV/atom): -522